A relaxed Tl3SnPb crystal. Source: Alexandria, functional PBE.

abc: 5.7774 5.7774 5.7774
angles: 90.00 90.00 90.00
Last column: nearest neighbours and their distance in Å.
Fractional coordinates of all 5 atoms:
Tl 0.0000 0.0000 0.5000  2 Sn 2.89
Tl 0.0000 0.5000 0.0000  2 Sn 2.89
Tl 0.5000 0.0000 0.0000  2 Sn 2.89
Sn 0.0000 0.0000 0.0000  6 Tl 2.89
Pb 0.5000 0.5000 0.5000  12 Tl 4.09

Summary:
- Formation enthalpy at 0 K: 0.425 eV per atom
- Distance to the lowest polymorph of the same formula: 405 meV/atom
- Space-group type: Pm-3m (221)